K2ZrHg2Br6: relaxed, PBE-GGA.

Properties
The uncorrected formation energy is -13.9 eV per formula unit. For the density of states at the Fermi level, the calculation gives 0.00 states/eV per cell. Its total energy is -35.24 eV/cell. The value obtained for the volume is 498 Å³/f.u. Its space group is C2/m, No. 12.

Cell lengths 8.0303, 8.0303, 9.5093 Å; angles 99.36, 99.36, 120.70 degrees
Sites, in units of the cell vectors:
K 0.1674 0.8326 0.0000
K 0.8326 0.1674 0.0000
Zr 0.5000 0.5000 0.0000
Hg 0.3000 0.7000 0.5000
Hg 0.7000 0.3000 0.5000
Br 0.1618 0.4308 0.8274
Br 0.2957 0.2957 0.1730
Br 0.4308 0.1618 0.8274
Br 0.5692 0.8382 0.1726
Br 0.7043 0.7043 0.8270
Br 0.8382 0.5692 0.1726



KZrHgBr6: relaxed, PBE-GGA.

Properties
The uncorrected formation energy is -10.6 eV per formula unit. For the density of states at the Fermi level, the calculation gives 1.47 states/eV per cell. Its total energy is -30.61 eV/cell. The value obtained for the volume is 364 Å³/f.u. Its space group is P1, No. 1.

Cell lengths 7.4463, 7.4529, 7.5207 Å; angles 69.58, 68.81, 86.21 degrees
Sites, in units of the cell vectors:
K 0.0000 0.0000 0.0000
Zr 0.0805 0.3808 0.3391
Hg 0.5585 0.4173 0.8061
Br 0.2822 0.3374 0.5751
Br 0.2918 0.1248 0.1963
Br 0.3338 0.6593 0.0374
Br 0.8096 0.1223 0.6440
Br 0.8770 0.4100 0.1091
Br 0.8897 0.6566 0.4663